Sr2SiOs | meta-GGA SCAN | single point on PBEsol structure

Computed properties:
- calculated volume (Å³ per cell) = 120.96
- total DFT energy (no corrections) (eV per atom) = -31.873
- formation energy without anion corrections (eV per atom) = -0.262
- space group = No. 8

a b c (Å): 4.1274 4.1065 8.5844
angles (deg): 103.73 90.00 120.17
Sites, in units of the cell vectors:
1 Sr 0.2118 0.4236 0.6358
2 Sr 0.0389 0.0778 0.1144
3 Si 0.7917 0.5833 0.3752
4 Os 0.4577 0.9153 0.3746